Entry 1:
A geometry-optimized Tm5TlCo structure, computed with GGA-PBE.

The structure in POSCAR format:
```
Tm5TlCo
1.0
6.4063 0.4842 -0.0112
2.4917 5.9217 -0.0112
3.2814 2.3624 10.3127
Tm Tl Co
10 2 2
Cartesian
8.1294 4.3621 1.3784
4.4476 4.6761 5.5959
8.3566 7.5068 6.5348
7.1616 1.1652 2.5670
7.9745 7.2152 9.8509
4.2048 1.5531 0.4395
5.0177 7.6032 7.7234
3.8227 1.2616 3.7556
7.7317 4.0923 4.6945
4.0499 4.4062 8.9120
5.1677 3.9347 2.5670
7.0116 4.8336 7.7234
0.0000 0.0000 0.0000
1.6407 1.1812 5.1563
```

Values from the calculation:
The symmetry is C2/c, No. 15.


Entry 2:
A geometry-optimized TlVCo structure, computed with GGA-PBE.

The structure in POSCAR format:
```
TlVCo
1.0
-1.8701 0.2372 -2.3635
-0.1734 -3.0137 -0.1652
-16.9013 0.2378 13.3970
Tl Co V
4 4 4
Cartesian
-9.6154 0.1353 7.6218
-7.2859 0.1025 5.7753
-2.1865 -1.3719 -0.3411
-16.7583 -1.1668 11.2094
-14.2190 0.2001 11.2709
-2.6823 0.0377 2.1262
-6.7901 -1.3071 3.3080
-12.1547 -1.2316 7.5603
-12.0633 0.1698 9.5622
-4.8380 0.0681 3.8349
-4.6344 -1.3375 1.5993
-14.3104 -1.2013 9.2690
```

Values from the calculation:
The symmetry is I4/mmm, No. 139.


Entry 3:
A geometry-optimized TlVCo2 structure, computed with GGA-PBE.

The structure in POSCAR format:
```
TlVCo2
1.0
6.6962 0.0000 0.0000
0.0000 6.6962 0.0000
3.3481 3.3481 2.7464
Tl Co V
2 4 2
Cartesian
0.0000 0.0000 0.0000
6.6962 3.3481 1.3732
4.6332 1.6741 0.6866
2.0631 5.0222 0.6866
5.0222 5.4112 2.0598
8.3703 7.9813 2.0598
3.3481 3.3481 0.0000
3.3481 6.6962 1.3732
```

Values from the calculation:
The symmetry is I-42d, No. 122. The calculation puts the excess energy over the best structure of this formula in the dataset at 268 meV/atom.


no.,formation energy from the elements (meV per atom)
1,-63
2,121
3,562